*A*
A geometry-optimized PHPdS2 structure, computed with GGA-PBE.

Cell lengths 4.6575, 4.6575, 3.0745 Å; angles 90.00, 90.00, 90.00 degrees
Fractional coordinates of all 5 atoms:
P 0.0000 0.0000 0.5000
S 0.0000 0.5000 0.0000
S 0.5000 0.0000 0.0000
Pd 0.5000 0.5000 0.5000
H 0.0000 0.0000 0.0000

## Properties
SG: P4/mmm
Size of the total moment in μB/cell: 0.00
DOS at the Fermi energy in states/eV per cell: 2.46

*B*
A geometry-optimized PHPdS2 structure, computed with GGA-PBE.

Cell lengths 4.8476, 4.8476, 4.5622 Å; angles 90.00, 90.00, 90.00 degrees
Last column: magnetic moment on the atom in μB.
Fractional coordinates of all 5 atoms:
P 0.0000 0.0000 0.5000  -0.09
S 0.0000 0.5000 0.0000  0.34
S 0.5000 0.0000 0.0000  0.34
Pd 0.0000 0.0000 0.0000  0.04
H 0.5000 0.5000 0.5000  0.35

## Properties
SG: P4/mmm
Size of the total moment in μB/cell: 1.75
DOS at the Fermi energy in states/eV per cell: 5.02

It turns out *A* is the most stable, with the second structure 514 meV per atom higher.

*A*
A geometry-optimized P2HPdS structure, computed with GGA-PBE.

Cell lengths 4.6113, 4.6113, 4.9790 Å; angles 90.00, 90.00, 90.00 degrees
Last column: magnetic moment on the atom in μB.
Fractional coordinates of all 5 atoms:
P 0.0000 0.5000 0.0000  -0.04
P 0.5000 0.0000 0.0000  -0.04
S 0.0000 0.0000 0.5000  0.11
Pd 0.0000 0.0000 0.0000  -0.02
H 0.5000 0.5000 0.5000  0.33

## Properties
SG: P4/mmm
Size of the total moment in μB/cell: 0.76
DOS at the Fermi energy in states/eV per cell: 3.95

*B*
A geometry-optimized P2HPdS structure, computed with GGA-PBE.

Cell lengths 3.6501, 3.6501, 4.9752 Å; angles 90.00, 90.00, 90.00 degrees
Fractional coordinates of all 5 atoms:
P 0.0000 0.5000 0.0000
P 0.5000 0.0000 0.0000
S 0.0000 0.0000 0.5000
Pd 0.5000 0.5000 0.5000
H 0.0000 0.0000 0.0000

## Properties
SG: P4/mmm
Size of the total moment in μB/cell: 0.00
DOS at the Fermi energy in states/eV per cell: 2.73

It turns out *B* is the most stable, with the second structure 595 meV per atom higher.

*A*
A geometry-optimized PmPH structure, computed with GGA-PBE.

Cell lengths 4.1238, 4.1238, 4.1238 Å; angles 60.00, 60.00, 60.00 degrees
Fractional coordinates of all 3 atoms:
P 0.5000 0.5000 0.5000
H 0.2500 0.2500 0.2500
Pm 0.0000 0.0000 0.0000

## Properties
SG: F-43m
Size of the total moment in μB/cell: 0.00
DOS at the Fermi energy in states/eV per cell: 1.86

*B*
A geometry-optimized PmPH structure, computed with GGA-PBE.

Cell lengths 3.9830, 3.9830, 4.4899 Å; angles 116.33, 116.33, 90.00 degrees
Fractional coordinates of all 3 atoms:
P 0.0109 0.0109 0.0217
Pm 0.6054 0.6054 0.2107
H 0.2338 0.2338 0.4676

## Properties
SG: I4mm
Size of the total moment in μB/cell: 0.00
DOS at the Fermi energy in states/eV per cell: 1.57

It turns out *A* is the most stable, with the second structure 110 meV per atom higher.

*A*
A geometry-optimized PmPH structure, computed with GGA-PBE.

Cell lengths 4.1185, 3.8254, 3.8254 Å; angles 120.00, 90.00, 90.00 degrees
Fractional coordinates of all 3 atoms:
P 0.6667 0.3333 0.6667
H 0.1667 0.6667 0.3333
Pm 0.1667 0.0000 0.0000

## Properties
SG: P-6m2
Size of the total moment in μB/cell: 0.00
DOS at the Fermi energy in states/eV per cell: 1.77

*B*
A geometry-optimized PmPH structure, computed with GGA-PBE.

Cell lengths 5.8901, 5.9001, 5.8659 Å; angles 86.82, 90.00, 90.00 degrees
Fractional coordinates of all 12 atoms:
P 0.7428 0.7436 0.0046
P 0.2428 0.7564 0.4954
P 0.2572 0.2564 0.9954
P 0.7572 0.2436 0.5046
H 0.8924 0.9080 0.8465
H 0.3924 0.5920 0.6535
H 0.1076 0.0920 0.1535
H 0.6076 0.4080 0.3465
Pm 0.7505 0.7519 0.4980
Pm 0.2505 0.7481 0.0020
Pm 0.2495 0.2481 0.5020
Pm 0.7495 0.2519 0.9980

## Properties
SG: P2_1/c
Size of the total moment in μB/cell: 0.00
DOS at the Fermi energy in states/eV per cell: 3.27

*C*
A geometry-optimized PmPH structure, computed with GGA-PBE.

Cell lengths 3.6994, 7.3212, 3.5860 Å; angles 90.01, 89.93, 90.00 degrees
Fractional coordinates of all 6 atoms:
Pm 0.4209 0.1721 0.9068
Pm 0.4210 0.6720 0.9099
P 0.9206 0.9227 0.3400
P 0.9213 0.4226 0.4767
H 0.9216 0.4239 0.0602
H 0.9196 0.9240 0.7566

## Properties
SG: Pmc2_1
Size of the total moment in μB/cell: 0.00
DOS at the Fermi energy in states/eV per cell: 3.42

It turns out *B* is the most stable, with the second structure 134 meV per atom higher.

*A*
A geometry-optimized Pm2PH2 structure, computed with GGA-PBE.

Cell lengths 3.9821, 3.9821, 13.3970 Å; angles 90.00, 90.00, 120.00 degrees
Fractional coordinates of all 10 atoms:
Pm 0.6667 0.3333 0.3846
Pm 0.3333 0.6667 0.8846
Pm 0.3333 0.6667 0.6154
Pm 0.6667 0.3333 0.1154
P 0.0000 0.0000 0.7500
P 0.0000 0.0000 0.2500
H 0.3333 0.6667 0.4408
H 0.6667 0.3333 0.9408
H 0.6667 0.3333 0.5592
H 0.3333 0.6667 0.0592

## Properties
SG: P6_3/mmc
Size of the total moment in μB/cell: 0.45
DOS at the Fermi energy in states/eV per cell: 5.81

*B*
A geometry-optimized Pm2PH2 structure, computed with GGA-PBE.

Cell lengths 6.3021, 6.3021, 6.0201 Å; angles 113.07, 113.07, 104.52 degrees
Fractional coordinates of all 10 atoms:
Pm 0.1521 0.3479 0.7500
Pm 0.4022 0.0978 0.2500
Pm 0.5978 0.9022 0.7500
Pm 0.8479 0.6521 0.2500
P 0.8750 0.6250 0.7500
P 0.1250 0.3750 0.2500
H 0.2549 0.0048 0.5098
H 0.5048 0.7549 0.0098
H 0.7451 0.9952 0.4902
H 0.4952 0.2451 0.9902

## Properties
SG: Fddd
Size of the total moment in μB/cell: 0.00
DOS at the Fermi energy in states/eV per cell: 4.57

It turns out *A* is the most stable, with the second structure 63 meV per atom higher.

*A*
A geometry-optimized PmPH2 structure, computed with GGA-PBE.

Cell lengths 4.1380, 4.1380, 4.1380 Å; angles 60.00, 60.00, 60.00 degrees
Fractional coordinates of all 4 atoms:
P 0.0000 0.0000 0.0000
H 0.2500 0.2500 0.2500
H 0.7500 0.7500 0.7500
Pm 0.5000 0.5000 0.5000

## Properties
SG: Fm-3m
Size of the total moment in μB/cell: 0.00
DOS at the Fermi energy in states/eV per cell: 1.06

*B*
A geometry-optimized PmPH2 structure, computed with GGA-PBE.

Cell lengths 4.1599, 4.1599, 4.2616 Å; angles 60.79, 60.79, 60.00 degrees
Fractional coordinates of all 4 atoms:
P 0.0000 0.0000 0.0000
H 0.1625 0.1625 0.5124
H 0.8375 0.8375 0.4876
Pm 0.5000 0.5000 0.5000

## Properties
SG: R-3m
Size of the total moment in μB/cell: 0.00

It turns out *B* is the most stable, with the second structure 237 meV per atom higher.

*A*
A geometry-optimized Pr2PH structure, computed with GGA-PBE.

Cell lengths 3.9387, 3.9387, 7.1488 Å; angles 74.01, 74.01, 60.00 degrees
Fractional coordinates of all 4 atoms:
Pr 0.0845 0.0845 0.7464
Pr 0.2529 0.2529 0.2413
P 0.6679 0.6679 0.9962
H 0.4946 0.4946 0.5161

## Properties
SG: R3m
Size of the total moment in μB/cell: 0.00
DOS at the Fermi energy in states/eV per cell: 1.15

*B*
A geometry-optimized Pr2PH structure, computed with GGA-PBE.

Cell lengths 4.0624, 4.0573, 6.6890 Å; angles 107.44, 90.00, 120.04 degrees
Fractional coordinates of all 4 atoms:
Pr 0.2513 0.5026 0.2577
Pr 0.7487 0.4974 0.7423
P 0.5000 0.0000 0.0000
H 0.0000 0.0000 0.5000

## Properties
SG: C2/m
Size of the total moment in μB/cell: 0.00
DOS at the Fermi energy in states/eV per cell: 1.31

It turns out *B* is the most stable, with the second structure 102 meV per atom higher.

*A*
A geometry-optimized PrPH structure, computed with GGA-PBE.

Cell lengths 4.1804, 3.9047, 3.9047 Å; angles 120.00, 90.00, 90.00 degrees
Fractional coordinates of all 3 atoms:
Pr 0.1668 0.6667 0.3333
P 0.6668 0.3333 0.6667
H 0.1663 0.0000 0.0000

## Properties
SG: P-6m2
Size of the total moment in μB/cell: 0.00
DOS at the Fermi energy in states/eV per cell: 2.02

*B*
A geometry-optimized PrPH structure, computed with GGA-PBE.

Cell lengths 4.3357, 5.9903, 8.2385 Å; angles 90.00, 90.00, 90.00 degrees
Fractional coordinates of all 12 atoms:
Pr 0.7500 0.2503 0.1197
Pr 0.2500 0.7503 0.3803
Pr 0.2500 0.7497 0.8803
Pr 0.7500 0.2497 0.6197
P 0.7500 0.7531 0.1204
P 0.2500 0.2531 0.3796
P 0.2500 0.2469 0.8796
P 0.7500 0.7469 0.6204
H 0.7500 0.6145 0.2827
H 0.2500 0.1145 0.2173
H 0.2500 0.3855 0.7173
H 0.7500 0.8855 0.7827

## Properties
SG: Pnma
Size of the total moment in μB/cell: 0.00
DOS at the Fermi energy in states/eV per cell: 2.65

*C*
A geometry-optimized PrPH structure, computed with GGA-PBE.

Cell lengths 4.0474, 4.0474, 4.5568 Å; angles 116.37, 116.37, 90.00 degrees
Fractional coordinates of all 3 atoms:
Pr 0.2924 0.2924 0.5848
P 0.8881 0.8881 0.7762
H 0.6695 0.6695 0.3390

## Properties
SG: I4mm
Size of the total moment in μB/cell: 0.00
DOS at the Fermi energy in states/eV per cell: 1.71

It turns out *B* is the most stable, with the second structure 179 meV per atom higher.

*A*
A geometry-optimized PH3Pt structure, computed with GGA-PBE.

Cell lengths 3.5954, 3.5954, 3.5954 Å; angles 90.00, 90.00, 90.00 degrees
Fractional coordinates of all 5 atoms:
P 0.5000 0.5000 0.5000
Pt 0.0000 0.0000 0.0000
H 0.0000 0.5000 0.0000
H 0.0000 0.0000 0.5000
H 0.5000 0.0000 0.0000

## Properties
SG: Pm-3m
Size of the total moment in μB/cell: 0.07
DOS at the Fermi energy in states/eV per cell: 3.26

*B*
A geometry-optimized PH3Pt structure, computed with GGA-PBE.

Cell lengths 3.4935, 3.4935, 3.4935 Å; angles 90.00, 90.00, 90.00 degrees
Fractional coordinates of all 5 atoms:
P 0.0000 0.0000 0.0000
Pt 0.5000 0.5000 0.5000
H 0.0000 0.5000 0.0000
H 0.0000 0.0000 0.5000
H 0.5000 0.0000 0.0000

## Properties
SG: Pm-3m
Size of the total moment in μB/cell: 0.00
DOS at the Fermi energy in states/eV per cell: 0.88

It turns out *A* is the most stable, with the second structure 234 meV per atom higher.

*A*
A geometry-optimized PH2Pt2 structure, computed with GGA-PBE.

Cell lengths 3.0829, 3.0829, 6.0025 Å; angles 75.12, 75.12, 90.00 degrees
Fractional coordinates of all 5 atoms:
P 0.0000 0.0000 0.0000
Pt 0.3580 0.3580 0.2840
Pt 0.6420 0.6420 0.7160
H 0.7500 0.2500 0.5000
H 0.2500 0.7500 0.5000

## Properties
SG: I4/mmm
Size of the total moment in μB/cell: 0.00
DOS at the Fermi energy in states/eV per cell: 2.14

*B*
A geometry-optimized PH2Pt2 structure, computed with GGA-PBE.

Cell lengths 6.6806, 6.6806, 2.8116 Å; angles 90.00, 90.00, 90.00 degrees
Fractional coordinates of all 10 atoms:
P 0.0000 0.0000 0.0000
P 0.5000 0.5000 0.0000
Pt 0.2247 0.7247 0.0000
Pt 0.7247 0.7753 0.0000
Pt 0.7753 0.2753 0.0000
Pt 0.2753 0.2247 0.0000
H 0.1186 0.6186 0.5000
H 0.6186 0.8814 0.5000
H 0.8814 0.3814 0.5000
H 0.3814 0.1186 0.5000

## Properties
SG: P4/mbm
Size of the total moment in μB/cell: 0.00
DOS at the Fermi energy in states/eV per cell: 3.53

It turns out *B* is the most stable, with the second structure 147 meV per atom higher.

*A*
A geometry-optimized PHPt4 structure, computed with GGA-PBE.

Cell lengths 5.5516, 5.5292, 6.7750 Å; angles 113.14, 113.25, 92.10 degrees
Fractional coordinates of all 12 atoms:
P 0.1343 0.8843 0.7687
P 0.8657 0.1157 0.2313
H 0.4903 0.7403 0.4806
H 0.5097 0.2597 0.5194
Pt 0.0082 0.2604 0.9980
Pt 0.4898 0.7376 0.9980
Pt 0.2504 0.4956 0.4990
Pt 0.7496 0.5044 0.5010
Pt 0.2514 0.9967 0.5010
Pt 0.5102 0.2624 0.0020
Pt 0.7486 0.0033 0.4990
Pt 0.9918 0.7396 0.0020

## Properties
SG: C2/c
Size of the total moment in μB/cell: 0.00
DOS at the Fermi energy in states/eV per cell: 3.60

*B*
A geometry-optimized PHPt4 structure, computed with GGA-PBE.

Cell lengths 5.2525, 5.2522, 4.5234 Å; angles 104.53, 104.53, 60.85 degrees
Fractional coordinates of all 6 atoms:
P 0.6395 0.3605 0.5000
H 0.9975 0.0025 0.0000
Pt 0.9530 0.3398 0.9417
Pt 0.6602 0.0470 0.0583
Pt 0.7251 0.7254 0.4736
Pt 0.2746 0.2749 0.5264

## Properties
SG: C2
Size of the total moment in μB/cell: 0.00
DOS at the Fermi energy in states/eV per cell: 2.72

It turns out *A* is the most stable, with the second structure 182 meV per atom higher.

*A*
A geometry-optimized Pu2PH2 structure, computed with GGA-PBE.

Cell lengths 5.6850, 5.6849, 6.0406 Å; angles 109.61, 105.49, 111.08 degrees
Last column: magnetic moment on the atom in μB.
Fractional coordinates of all 10 atoms:
Pu 0.8720 0.2133 0.2055  5.30
Pu 0.4923 0.3336 0.7056  5.30
Pu 0.5077 0.6664 0.2944  5.30
Pu 0.1280 0.7867 0.7945  5.30
P 0.0444 0.7944 0.2500  -0.18
P 0.9556 0.2056 0.7500  -0.18
H 0.4903 0.2435 0.0377  -0.03
H 0.2942 0.5473 0.5376  -0.03
H 0.5097 0.7565 0.9623  -0.03
H 0.7058 0.4527 0.4624  -0.03

## Properties
SG: C2/c
Size of the total moment in μB/cell: 22.00
DOS at the Fermi energy in states/eV per cell: 26.27

*B*
A geometry-optimized Pu2PH2 structure, computed with GGA-PBE.

Cell lengths 3.6026, 3.6026, 6.4387 Å; angles 106.25, 106.25, 90.01 degrees
Last column: magnetic moment on the atom in μB.
Fractional coordinates of all 5 atoms:
Pu 0.6288 0.6288 0.2578  5.33
Pu 0.3712 0.3712 0.7422  5.33
P 0.0000 0.0000 0.0000  -0.15
H 0.2500 0.7500 0.5000  -0.03
H 0.7500 0.2500 0.5000  -0.03

## Properties
SG: I4/mmm
Size of the total moment in μB/cell: 10.98
DOS at the Fermi energy in states/eV per cell: 13.22

It turns out *B* is the most stable, with the second structure 32 meV per atom higher.